(1)
# YRhPb2 (GGA-PBEsol, optimized geometry)
data_YRhPb2
_chemical_formula_sum 'Y2 Rh2 Pb4'
_cell_length_a 11.570
_cell_length_b 3.599
_cell_length_c 4.872
_cell_angle_alpha 90.00
_cell_angle_beta 114.41
_cell_angle_gamma 90.00
_space_group_name_H-M_alt 'C 1 m 1'
_space_group_IT_number 8
loop_
_space_group_symop_operation_xyz
'x,y,z'
'x,-y,z'
'x+1/2,y+1/2,z'
'x+1/2,-y+1/2,z'
loop_
_atom_site_label
_atom_site_fract_x
_atom_site_fract_y
_atom_site_fract_z
Y1 0.000 0.000 0.000
Rh1 0.208 0.500 0.191
Pb1 0.206 0.000 0.702
Pb2 0.417 0.000 0.418
# electronic total energy	-0.441	Ry/atom

***

(2)
# ZnSbPb2 (GGA-PBEsol, optimized geometry)
data_ZnSbPb2
_chemical_formula_sum 'Zn1 Sb1 Pb2'
_cell_length_a 3.210
_cell_length_b 5.237
_cell_length_c 6.265
_cell_angle_alpha 90.00
_cell_angle_beta 90.50
_cell_angle_gamma 90.00
_space_group_name_H-M_alt 'P 1 2/m 1'
_space_group_IT_number 10
loop_
_space_group_symop_operation_xyz
'x,y,z'
'-x,-y,-z'
'-x,y,-z'
'x,-y,z'
loop_
_atom_site_label
_atom_site_fract_x
_atom_site_fract_y
_atom_site_fract_z
Zn1 0.000 0.000 0.000
Sb1 0.500 0.000 0.500
Pb1 0.260 0.500 0.769
# raw formation energy	0.196	eV/atom

***

(3)
# Sc2AgHg (GGA-PBEsol, optimized geometry)
data_Sc2AgHg
_chemical_formula_sum 'Sc2 Ag1 Hg1'
_cell_length_a 3.385
_cell_length_b 3.385
_cell_length_c 6.972
_cell_angle_alpha 90.00
_cell_angle_beta 90.00
_cell_angle_gamma 90.00
_space_group_name_H-M_alt 'P 4/m m m'
_space_group_IT_number 123
_space_group_name_Hall '-P 4 2'
loop_
_atom_site_label
_atom_site_fract_x
_atom_site_fract_y
_atom_site_fract_z
Sc1 0.000 0.000 0.241
Ag1 0.500 0.500 0.000
Hg1 0.500 0.500 0.500
# electronic total energy	-0.345	Ry/atom

***

(4)
# Pr2Mg (GGA-PBEsol, optimized geometry)
data_Pr2Mg
_chemical_formula_sum 'Pr4 Mg2'
_cell_length_a 3.677
_cell_length_b 3.677
_cell_length_c 13.639
_cell_angle_alpha 90.00
_cell_angle_beta 90.00
_cell_angle_gamma 90.00
_space_group_name_H-M_alt 'I 4/m m m'
_space_group_IT_number 139
_space_group_name_Hall '-I 4 2'
loop_
_atom_site_label
_atom_site_fract_x
_atom_site_fract_y
_atom_site_fract_z
Pr1 0.000 0.000 0.159
Mg1 0.000 0.000 0.500
# electronic total energy	-0.300	Ry/atom

***

(5)
# Rb6CdO4 (GGA-PBEsol, optimized geometry)
data_Rb6CdO4
_chemical_formula_sum 'Rb12 Cd2 O8'
_cell_length_a 9.0379
_cell_length_b 9.0379
_cell_length_c 6.8741
_cell_angle_alpha 90.00
_cell_angle_beta 90.00
_cell_angle_gamma 120.00
_space_group_name_H-M_alt 'P 63 m c'
_space_group_IT_number 186
_space_group_name_Hall 'P 6c -2c'
loop_
_atom_site_label
_atom_site_fract_x
_atom_site_fract_y
_atom_site_fract_z
Rb1 0.0762 0.5381 0.0000
Rb2 0.1438 0.2877 0.3346
Cd1 0.3333 0.6667 0.6079
O1 0.1963 0.3927 0.7171
O2 0.3333 0.6667 0.2859
# raw formation energy	-1.053	eV/atom

***

(6)
# As3C (GGA-PBEsol, optimized geometry)
data_As3C
_chemical_formula_sum 'As6 C2'
_cell_length_a 7.002
_cell_length_b 2.947
_cell_length_c 6.745
_cell_angle_alpha 90.00
_cell_angle_beta 110.27
_cell_angle_gamma 90.00
_space_group_name_H-M_alt 'C 1 2/m 1'
_space_group_IT_number 12
loop_
_space_group_symop_operation_xyz
'x,y,z'
'-x,-y,-z'
'-x,y,-z'
'x,-y,z'
'x+1/2,y+1/2,z'
'-x+1/2,-y+1/2,-z'
'-x+1/2,y+1/2,-z'
'x+1/2,-y+1/2,z'
loop_
_atom_site_label
_atom_site_fract_x
_atom_site_fract_y
_atom_site_fract_z
As1 0.000 0.000 0.000
As2 0.163 0.000 0.698
C1 0.000 0.500 0.500
# electronic total energy	-0.393	Ry/atom

***

(7)
# CsPdN2F (GGA-PBEsol, optimized geometry)
data_CsPdN2F
_chemical_formula_sum 'Cs1 Pd1 N2 F1'
_cell_length_a 3.800
_cell_length_b 3.800
_cell_length_c 6.208
_cell_angle_alpha 90.00
_cell_angle_beta 90.00
_cell_angle_gamma 90.00
_space_group_name_H-M_alt 'P 4/m m m'
_space_group_IT_number 123
_space_group_name_Hall '-P 4 2'
loop_
_atom_site_label
_atom_site_fract_x
_atom_site_fract_y
_atom_site_fract_z
Cs1 0.000 0.000 0.000
Pd1 0.500 0.500 0.500
N1 0.000 0.500 0.500
F1 0.500 0.500 0.000
# raw formation energy	0.242	eV/atom

***

(8)
# CsSn2Se2 (GGA-PBEsol, optimized geometry)
data_CsSn2Se2
_chemical_formula_sum 'Cs2 Sn4 Se4'
_cell_length_a 4.583
_cell_length_b 4.583
_cell_length_c 14.321
_cell_angle_alpha 90.00
_cell_angle_beta 90.00
_cell_angle_gamma 90.00
_space_group_name_H-M_alt 'I 4/m m m'
_space_group_IT_number 139
_space_group_name_Hall '-I 4 2'
loop_
_atom_site_label
_atom_site_fract_x
_atom_site_fract_y
_atom_site_fract_z
Cs1 0.000 0.000 0.000
Sn1 0.000 0.500 0.250
Se1 0.000 0.000 0.407
# raw formation energy	-0.357	eV/atom

***

(9)
# Ca2MoPt (GGA-PBEsol, optimized geometry)
data_Ca2MoPt
_chemical_formula_sum 'Ca8 Mo4 Pt4'
_cell_length_a 6.843
_cell_length_b 6.843
_cell_length_c 6.843
_cell_angle_alpha 90.00
_cell_angle_beta 90.00
_cell_angle_gamma 90.00
_space_group_name_H-M_alt 'F -4 3 m'
_space_group_IT_number 216
_space_group_name_Hall 'F -4 2 3'
loop_
_atom_site_label
_atom_site_fract_x
_atom_site_fract_y
_atom_site_fract_z
Ca1 0.000 0.000 0.000
Ca2 0.250 0.250 0.250
Mo1 0.000 0.000 0.500
Pt1 0.250 0.250 0.750
# electronic total energy	-0.395	Ry/atom

***

(10)
# Ca2BeBr (GGA-PBEsol, optimized geometry)
data_Ca2BeBr
_chemical_formula_sum 'Ca2 Be1 Br1'
_cell_length_a 3.519
_cell_length_b 3.519
_cell_length_c 7.827
_cell_angle_alpha 90.00
_cell_angle_beta 90.00
_cell_angle_gamma 90.00
_space_group_name_H-M_alt 'P 4/m m m'
_space_group_IT_number 123
_space_group_name_Hall '-P 4 2'
loop_
_atom_site_label
_atom_site_fract_x
_atom_site_fract_y
_atom_site_fract_z
Ca1 0.000 0.000 0.219
Be1 0.500 0.500 0.000
Br1 0.500 0.500 0.500
# raw formation energy	-0.446	eV/atom

***

(11)
# Zn2FeCu (GGA-PBEsol, optimized geometry)
data_Zn2FeCu
_chemical_formula_sum 'Zn4 Fe2 Cu2'
_cell_length_a 4.533
_cell_length_b 2.569
_cell_length_c 8.499
_cell_angle_alpha 90.00
_cell_angle_beta 99.41
_cell_angle_gamma 90.00
_space_group_name_H-M_alt 'C 1 2/m 1'
_space_group_IT_number 12
loop_
_space_group_symop_operation_xyz
'x,y,z'
'-x,-y,-z'
'-x,y,-z'
'x,-y,z'
'x+1/2,y+1/2,z'
'-x+1/2,-y+1/2,-z'
'-x+1/2,y+1/2,-z'
'x+1/2,-y+1/2,z'
loop_
_atom_site_label
_atom_site_fract_x
_atom_site_fract_y
_atom_site_fract_z
Zn1 0.250 0.000 0.249
Fe1 0.000 0.500 0.000
Cu1 0.000 0.000 0.500
# electronic total energy	-0.302	Ry/atom

***

(12)
# AcTlHg2 (GGA-PBEsol, optimized geometry)
data_AcTlHg2
_chemical_formula_sum 'Ac4 Tl4 Hg8'
_cell_length_a 7.570
_cell_length_b 7.570
_cell_length_c 7.570
_cell_angle_alpha 90.00
_cell_angle_beta 90.00
_cell_angle_gamma 90.00
_space_group_name_H-M_alt 'F m -3 m'
_space_group_IT_number 225
_space_group_name_Hall '-F 4 2 3'
loop_
_atom_site_label
_atom_site_fract_x
_atom_site_fract_y
_atom_site_fract_z
Ac1 0.000 0.000 0.000
Tl1 0.000 0.000 0.500
Hg1 0.250 0.250 0.250
# electronic total energy	-0.186	Ry/atom

***

Number 1 is which compound?
YRhPb2